The following is a DFT calculation (PBE-GGA) of a relaxed KZn2Ni crystal.

a b c (Å): 2.8916 3.9971 7.4945
angles (deg): 90.00 90.12 90.00
Fractional positions:
K 0.0000 0.0000 0.0000
Zn 0.5014 0.0000 0.5969
Zn 0.5009 0.5000 0.3429
Ni 0.0018 0.5000 0.6098

polymorph energy (0 for the lowest one): 117 meV per atom
ΔE_f: 0.117 eV per atom
density: 4.38 g/cm3
SG: Pm, No. 6



The following is a DFT calculation (PBE-GGA) of a relaxed ZrHgPb2 crystal.

a b c (Å): 3.5006 4.4842 6.5608
angles (deg): 90.00 90.00 90.00
Fractional positions:
Zr 0.0000 0.0000 0.0000
Hg 0.0000 0.0000 0.5000
Pb 0.5000 0.5000 0.2418
Pb 0.5000 0.5000 0.7582

ΔE_f: 0.011 eV per atom
density: 11.39 g/cm3
SG: Pmmm, No. 47



The following is a DFT calculation (PBE-GGA) of a relaxed ZnSNF2 crystal.

a b c (Å): 3.6553 3.6553 6.1844
angles (deg): 90.00 90.00 90.00
Fractional positions:
Zn 0.0000 0.0000 0.0000
S 0.5000 0.5000 0.5000
N 0.0000 0.0000 0.5000
F 0.0000 0.5000 0.0000
F 0.5000 0.0000 0.0000

ΔE_f (raw): 65 meV per atom
polymorph energy (0 for the lowest one): 46 meV per atom
density: 3.00 g/cm3
SG: P4/mmm, No. 123



The following is a DFT calculation (PBE-GGA) of a relaxed Mg3CuAs crystal.

a b c (Å): 4.9960 4.9960 4.9960
angles (deg): 90.00 90.00 90.00
Fractional positions:
Mg 0.0000 0.0000 0.5000
Mg 0.0000 0.5000 0.0000
Mg 0.5000 0.0000 0.0000
Cu 0.5000 0.5000 0.5000
As 0.0000 0.0000 0.0000

polymorph energy (0 for the lowest one): 78 meV per atom
ΔE_f: 0.242 eV per atom
density: 2.81 g/cm3
SG: Pm-3m, No. 221



| no. | electronic total energy (eV/cell) |
| --- | --- |
| 1 | -8.96 |
| 2 | -16.22 |
| 3 | -17.14 |
| 4 | -12.32 |